Record 1
A plane-wave DFT calculation with PBE was carried out for a relaxed structure of PmCoTc.

a = 6.661 Å, b = 6.661 Å, c = 5.939 Å
α = 90.00°, β = 90.00°, γ = 90.00°
Sites, in units of the cell vectors:
Pm: 0.243 0.243 0.000
Pm: 0.257 0.743 0.250
Pm: 0.743 0.257 0.750
Pm: 0.757 0.757 0.500
Co: 0.134 0.866 0.750
Co: 0.366 0.366 0.500
Co: 0.634 0.634 0.000
Co: 0.866 0.134 0.250
Tc: 0.123 0.123 0.500
Tc: 0.377 0.623 0.750
Tc: 0.623 0.377 0.250
Tc: 0.877 0.877 0.000

Output
Calculated volume in Å³ per atom: 21.959
Space group: P4_12_12
Formation energy in eV/atom: 0.303
Electronic total energy in eV per atom: -7.104
Magnetic moment in μB per formula unit: 0.00

---

Record 2
A plane-wave DFT calculation with PBE was carried out for a relaxed structure of Pm2CoTc3.

a = 5.569 Å, b = 5.569 Å, c = 5.569 Å
α = 56.28°, β = 56.28°, γ = 56.28°
Sites, in units of the cell vectors:
Pm: 0.125 0.125 0.125
Pm: 0.875 0.875 0.875
Co: 0.500 0.500 0.500
Tc: 0.000 0.500 0.500
Tc: 0.500 0.000 0.500
Tc: 0.500 0.500 0.000

Output
Calculated volume in Å³ per atom: 18.603
Space group: R-3m
Formation energy in eV/atom: -0.031
Electronic total energy in eV per atom: -7.982
Magnetic moment in μB per formula unit: 1.50

---

Record 3
A plane-wave DFT calculation with PBE was carried out for a relaxed structure of PmThCoTc.

a = 4.949 Å, b = 4.949 Å, c = 4.949 Å
α = 60.00°, β = 60.00°, γ = 60.00°
Sites, in units of the cell vectors:
Pm: 0.000 0.000 0.000
Th: 0.500 0.500 0.500
Co: 0.750 0.750 0.750
Tc: 0.250 0.250 0.250

Output
Calculated volume in Å³ per atom: 21.426
Space group: F-43m
Formation energy in eV/atom: 0.027
Electronic total energy in eV per atom: -7.384
Magnetic moment in μB per formula unit: 0.72

---

Record 4
A plane-wave DFT calculation with PBE was carried out for a relaxed structure of Pm4CoTe3.

a = 7.820 Å, b = 8.853 Å, c = 7.392 Å
α = 90.00°, β = 109.13°, γ = 90.00°
Sites, in units of the cell vectors:
Pm: 0.211 0.112 0.009
Pm: 0.211 0.888 0.509
Pm: 0.226 0.337 0.469
Pm: 0.226 0.663 0.969
Pm: 0.774 0.337 0.031
Pm: 0.774 0.663 0.531
Pm: 0.789 0.112 0.491
Pm: 0.789 0.888 0.991
Co: 0.000 0.117 0.250
Co: 0.000 0.883 0.750
Te: 0.000 0.384 0.750
Te: 0.000 0.616 0.250
Te: 0.500 0.120 0.750
Te: 0.500 0.386 0.250
Te: 0.500 0.614 0.750
Te: 0.500 0.880 0.250

Output
Calculated volume in Å³ per atom: 30.219
Space group: P2/c
Uncorrected formation energy in eV per atom: -1.057
Electronic total energy in eV per atom: -5.499
Magnetic moment in μB per formula unit: 0.00
Polymorph energy (0 for the lowest one) in meV/atom: 0.0